(1)
A plane-wave DFT calculation with PBE-GGA was carried out for a relaxed structure of VCrRu.

abc: 8.8613 4.1882 5.1147
angles: 90.00 124.56 90.00
Space group Cm (No. 8)
Inequivalent atoms, fractional coordinates:
V: 0.0000 0.0000 0.0000 x2
V: 0.1682 0.5000 0.8203 x2
Cr: 0.3202 0.0000 0.1630 x2
Cr: 0.4941 0.5000 0.4895 x2
Ru: 0.1549 0.5000 0.3112 x2
Ru: 0.3446 0.0000 0.6835 x2

Calculated values
energy above the lowest structure with this stoichiometry = 78 meV per atom
crystal system = monoclinic
D(E_F) = 13.91 states/eV/cell
energy = -9.41 eV/atom
formation energy from the elements = -0.07 eV per atom

(2)
A plane-wave DFT calculation with PBE-GGA was carried out for a relaxed structure of V2CrRu8.

abc: 12.5324 4.2815 6.6919
angles: 90.00 121.17 90.00
Space group C2/m (No. 12)
Inequivalent atoms, fractional coordinates:
V: 0.2284 0.0000 0.1173 x4
Cr: 0.0000 0.5000 0.5000 x2
Ru: 0.0646 0.0000 0.2220 x4
Ru: 0.1000 0.5000 0.9650 x4
Ru: 0.1313 0.0000 0.6809 x4
Ru: 0.1850 0.5000 0.4634 x4

Calculated values
crystal system = monoclinic
D(E_F) = 28.84 states/eV/cell
energy = -9.17 eV/atom
formation energy from the elements = 0.11 eV per atom

(3)
A plane-wave DFT calculation with PBE-GGA was carried out for a relaxed structure of VCrRu.

abc: 8.9229 4.1475 5.1257
angles: 90.00 124.89 90.00
Space group Cm (No. 8)
Inequivalent atoms, fractional coordinates:
V: 0.0000 0.0000 0.0000 x2
V: 0.1611 0.5000 0.8138 x2
Cr: 0.1463 0.5000 0.3071 x2
Cr: 0.3087 0.0000 0.1294 x2
Ru: 0.3322 0.0000 0.6534 x2
Ru: 0.4801 0.5000 0.4760 x2

Calculated values
energy above the lowest structure with this stoichiometry = 58 meV per atom
crystal system = monoclinic
D(E_F) = 14.15 states/eV/cell
energy = -9.43 eV/atom
formation energy from the elements = -0.09 eV per atom

(4)
A plane-wave DFT calculation with PBE-GGA was carried out for a relaxed structure of V3CrRu4.

abc: 3.0106 4.2682 8.4949
angles: 90.00 90.00 90.00
Space group Pmmm (No. 47)
Inequivalent atoms, fractional coordinates:
V: 0.0000 0.0000 0.0000 x1
V: 0.0000 0.5000 0.2568 x2
Cr: 0.0000 0.0000 0.5000 x1
Ru: 0.5000 0.0000 0.2440 x2
Ru: 0.5000 0.5000 0.0000 x1
Ru: 0.5000 0.5000 0.5000 x1

Calculated values
crystal system = orthorhombic
D(E_F) = 7.92 states/eV/cell
energy = -9.42 eV/atom
formation energy from the elements = -0.16 eV per atom

(5)
A plane-wave DFT calculation with PBE-GGA was carried out for a relaxed structure of V2Cr2Ru.

abc: 3.0237 14.8643 2.9310
angles: 90.00 90.00 90.00
Space group Cmmm (No. 65)
Inequivalent atoms, fractional coordinates:
V: 0.0000 0.1061 0.0000 x4
Cr: 0.0000 0.3058 0.5000 x4
Ru: 0.0000 0.5000 0.5000 x2

Calculated values
crystal system = orthorhombic
D(E_F) = 8.01 states/eV/cell
energy = -9.25 eV/atom
formation energy from the elements = 0.10 eV per atom

(6)
A plane-wave DFT calculation with PBE-GGA was carried out for a relaxed structure of VCrRu.

abc: 2.9354 4.1684 12.7599
angles: 90.00 90.00 90.00
Space group Amm2 (No. 38)
Inequivalent atoms, fractional coordinates:
V: 0.0000 0.0000 0.0000 x2
V: 0.0000 0.0000 0.3244 x2
Cr: 0.5000 0.0000 0.1537 x2
Cr: 0.5000 0.0000 0.8301 x2
Ru: 0.0000 0.0000 0.6734 x2
Ru: 0.5000 0.0000 0.4866 x2

Calculated values
energy above the lowest structure with this stoichiometry = 45 meV per atom
crystal system = orthorhombic
D(E_F) = 11.20 states/eV/cell
energy = -9.44 eV/atom
formation energy from the elements = -0.10 eV per atom

(7)
A plane-wave DFT calculation with PBE-GGA was carried out for a relaxed structure of V4CrRu3.

abc: 2.9760 4.2433 8.4321
angles: 90.00 90.00 90.00
Space group Pmmm (No. 47)
Inequivalent atoms, fractional coordinates:
V: 0.0000 0.0000 0.0000 x1
V: 0.0000 0.0000 0.5000 x1
V: 0.0000 0.5000 0.2352 x2
Cr: 0.5000 0.5000 0.0000 x1
Ru: 0.5000 0.0000 0.2511 x2
Ru: 0.5000 0.5000 0.5000 x1

Calculated values
crystal system = orthorhombic
D(E_F) = 7.06 states/eV/cell
energy = -9.50 eV/atom
formation energy from the elements = -0.26 eV per atom

(8)
A plane-wave DFT calculation with PBE-GGA was carried out for a relaxed structure of V4CrRu2.

abc: 4.1943 4.1943 12.4048
angles: 90.00 90.00 90.00
Space group I4/mmm (No. 139)
Inequivalent atoms, fractional coordinates:
V: 0.0000 0.0000 0.1898 x4
V: 0.0000 0.5000 0.0000 x4
Cr: 0.0000 0.0000 0.0000 x2
Ru: 0.0000 0.0000 0.3723 x4

Calculated values
crystal system = tetragonal
D(E_F) = 22.28 states/eV/cell
energy = -8.48 eV/atom
formation energy from the elements = 0.75 eV per atom

(9)
A plane-wave DFT calculation with PBE-GGA was carried out for a relaxed structure of V5CrRu6.

abc: 4.2777 6.0018 6.7391
angles: 90.00 108.57 90.00
Space group P2/m (No. 10)
Inequivalent atoms, fractional coordinates:
V: 0.0000 0.0000 0.0000 x1
V: 0.3359 0.0000 0.6689 x2
V: 0.3410 0.5000 0.6793 x2
Cr: 0.0000 0.5000 0.0000 x1
Ru: 0.1694 0.2512 0.3414 x4
Ru: 0.5000 0.2459 0.0000 x2

Calculated values
crystal system = monoclinic
D(E_F) = 12.20 states/eV/cell
energy = -9.43 eV/atom
formation energy from the elements = -0.19 eV per atom

(10)
A plane-wave DFT calculation with PBE-GGA was carried out for a relaxed structure of VCr3Ru.

abc: 4.1532 4.1532 4.1532
angles: 90.00 90.00 90.00
Space group Pm-3m (No. 221)
Inequivalent atoms, fractional coordinates:
V: 0.0000 0.0000 0.0000 x1
Cr: 0.0000 0.0000 0.5000 x3
Ru: 0.5000 0.5000 0.5000 x1

Calculated values
energy above the lowest structure with this stoichiometry = 0 meV per atom
crystal system = cubic
D(E_F) = 7.48 states/eV/cell
energy = -8.12 eV/atom
formation energy from the elements = 1.34 eV per atom

(11)
A plane-wave DFT calculation with PBE-GGA was carried out for a relaxed structure of V6CrRu.

abc: 4.7476 4.7451 4.7516
angles: 90.00 90.09 90.00
Space group P2/m (No. 10)
Inequivalent atoms, fractional coordinates:
V: 0.9996 0.0000 0.2468 x2
V: 0.2531 0.5000 0.9998 x2
V: 0.5000 0.2469 0.5000 x2
Cr: 0.5000 0.0000 0.0000 x1
Ru: 0.0000 0.5000 0.5000 x1

Calculated values
energy above the lowest structure with this stoichiometry = 52 meV per atom
crystal system = monoclinic
D(E_F) = 10.38 states/eV/cell
energy = -9.33 eV/atom
formation energy from the elements = -0.13 eV per atom

(12)
A plane-wave DFT calculation with PBE-GGA was carried out for a relaxed structure of VCrRu5.

abc: 4.0776 4.0776 6.0748
angles: 90.00 90.00 90.00
Space group P4/mmm (No. 123)
Inequivalent atoms, fractional coordinates:
V: 0.0000 0.0000 0.0000 x1
Cr: 0.5000 0.5000 0.5000 x1
Ru: 0.0000 0.5000 0.2782 x4
Ru: 0.5000 0.5000 0.0000 x1

Calculated values
crystal system = tetragonal
D(E_F) = 9.43 states/eV/cell
energy = -9.07 eV/atom
formation energy from the elements = 0.23 eV per atom